No. 1
Below is Ho3GaPb2 after structural relaxation, with properties calculated at the GGA-PBE level.

Output
N(E_F) = 4.73 states/eV/f.u.
volume = 160.3 Å³/f.u.
E_form = -0.42 eV/atom
final energy = -26.7 eV/f.u.
magnetic moment = 0.0 μB/f.u.

The structure in CIF format:
```
data_Ho3GaPb2
_symmetry_space_group_name_H-M 'C 1 2/c 1'
_symmetry_Int_Tables_number 15
_cell_length_a 16.362
_cell_length_b 6.265
_cell_length_c 6.376
_cell_angle_alpha 90.00
_cell_angle_beta 101.09
_cell_angle_gamma 90.00
loop_
_symmetry_equiv_pos_as_xyz
'x,y,z'
'-x,-y,-z'
'-x,y,-z+1/2'
'x,-y,z+1/2'
'x+1/2,y+1/2,z'
'-x+1/2,-y+1/2,-z'
'-x+1/2,y+1/2,-z+1/2'
'x+1/2,-y+1/2,z+1/2'
loop_
_atom_site_label
_atom_site_type_symbol
_atom_site_fract_x
_atom_site_fract_y
_atom_site_fract_z
_atom_site_occupancy
Ho1 Ho 0.000 0.131 0.250 1
Ho2 Ho 0.161 0.389 0.592 1
Ga1 Ga 0.000 0.382 0.750 1
Pb1 Pb 0.166 0.110 0.068 1
```


No. 2
Below is Sm3GeH2 after structural relaxation, with properties calculated at the GGA-PBE level.

Output
N(E_F) = 3.64 states/eV/f.u.
volume = 130.7 Å³/f.u.
final energy = -28.6 eV/f.u.
magnetic moment = 0.0 μB/f.u.

The structure in CIF format:
```
data_Sm3GeH2
_symmetry_space_group_name_H-M 'C 1 2/m 1'
_symmetry_Int_Tables_number 12
_cell_length_a 21.804
_cell_length_b 4.082
_cell_length_c 6.111
_cell_angle_alpha 90.00
_cell_angle_beta 106.07
_cell_angle_gamma 90.00
loop_
_symmetry_equiv_pos_as_xyz
'x,y,z'
'-x,-y,-z'
'-x,y,-z'
'x,-y,z'
'x+1/2,y+1/2,z'
'-x+1/2,-y+1/2,-z'
'-x+1/2,y+1/2,-z'
'x+1/2,-y+1/2,z'
loop_
_atom_site_label
_atom_site_type_symbol
_atom_site_fract_x
_atom_site_fract_y
_atom_site_fract_z
_atom_site_occupancy
Sm1 Sm 0.051 0.000 0.291 1
Sm2 Sm 0.101 0.500 0.852 1
Sm3 Sm 0.230 0.000 0.231 1
Ge1 Ge 0.151 0.500 0.390 1
H1 H 0.056 0.000 0.914 1
H2 H 0.210 0.500 0.020 1
```


No. 3
Below is Tb2DyHo after structural relaxation, with properties calculated at the GGA-PBE level.

Output
N(E_F) = 8.94 states/eV/f.u.
volume = 126.5 Å³/f.u.
E_form = 0.13 eV/atom
final energy = -17.9 eV/f.u.
magnetic moment = 0.0 μB/f.u.

The structure in CIF format:
```
data_Tb2DyHo
_symmetry_space_group_name_H-M 'I m m 2'
_symmetry_Int_Tables_number 44
_cell_length_a 3.654
_cell_length_b 5.873
_cell_length_c 11.788
_cell_angle_alpha 90.00
_cell_angle_beta 90.00
_cell_angle_gamma 90.00
loop_
_symmetry_equiv_pos_as_xyz
'x,y,z'
'-x,-y,z'
'-x,y,z'
'x,-y,z'
'x+1/2,y+1/2,z+1/2'
'-x+1/2,-y+1/2,z+1/2'
'-x+1/2,y+1/2,z+1/2'
'x+1/2,-y+1/2,z+1/2'
loop_
_atom_site_label
_atom_site_type_symbol
_atom_site_fract_x
_atom_site_fract_y
_atom_site_fract_z
_atom_site_occupancy
Tb1 Tb 0.000 0.000 0.000 1
Tb2 Tb 0.000 0.500 0.246 1
Dy1 Dy 0.000 0.500 0.751 1
Ho1 Ho 0.000 0.000 0.497 1
```


No. 4
Below is LaBePd2 after structural relaxation, with properties calculated at the GGA-PBE level.

Output
N(E_F) = 2.56 states/eV/f.u.
volume = 87.9 Å³/f.u.
E_form = -0.37 eV/atom
final energy = -20.5 eV/f.u.
magnetic moment = 0.0 μB/f.u.

The structure in CIF format:
```
data_LaBePd2
_symmetry_space_group_name_H-M 'I -4 2 d'
_symmetry_Int_Tables_number 122
_symmetry_space_group_name_Hall 'I -4 2bw'
_cell_length_a 4.894
_cell_length_b 4.894
_cell_length_c 14.678
_cell_angle_alpha 90.00
_cell_angle_beta 90.00
_cell_angle_gamma 90.00
loop_
_atom_site_label
_atom_site_type_symbol
_atom_site_fract_x
_atom_site_fract_y
_atom_site_fract_z
_atom_site_occupancy
La1 La 0.000 0.000 0.000 1
Be1 Be 0.000 0.000 0.500 1
Pd1 Pd 0.091 0.250 0.625 1
```